Entry 1:
NbV3As: relaxed, GGA-PBE.

```
NbV3As
1.0
4.605 0.000 0.000
0.000 4.605 0.000
0.000 0.000 4.605
Nb V As
1 3 1
direct
0.000 0.000 0.000
0.000 0.000 0.500
0.000 0.500 0.000
0.500 0.000 0.000
0.500 0.500 0.500
```

Summary:
The formation energy from the elements is 1.42 eV/atom. As for the crystal system: cubic. The total moment is 0.00 μB/cell. The energy relative to the lowest polymorph listed for this composition comes out at 8.38 eV/f.u.

---

Entry 2:
Ca2TaAg: relaxed, GGA-PBE.

```
Ca2TaAg
1.0
-2.272 2.272 4.963
2.272 -2.272 4.963
2.272 2.272 -4.963
Ca Ta Ag
2 1 1
direct
0.000 0.000 0.000
0.750 0.250 0.500
0.250 0.750 0.500
0.500 0.500 0.000
```

Summary:
The formation energy from the elements is 0.68 eV/atom. As for the crystal system: tetragonal. The total moment is 3.38 μB/cell. The energy relative to the lowest polymorph listed for this composition comes out at 1.34 eV/f.u.

---

Entry 3:
KCaTbF6: relaxed, GGA-PBE.

```
KCaTbF6
1.0
-4.046 4.200 5.974
4.046 -4.200 5.974
4.046 4.200 -5.974
K Ca Tb F
2 2 2 12
direct
0.288 0.038 0.250
0.712 0.962 0.750
0.000 0.000 0.500
0.000 0.500 0.000
0.000 0.500 0.500
0.500 0.500 0.000
0.053 0.417 0.238
0.053 0.816 0.636
0.077 0.827 0.250
0.312 0.562 0.750
0.321 0.184 0.738
0.321 0.583 0.136
0.679 0.417 0.864
0.679 0.816 0.262
0.688 0.438 0.250
0.923 0.173 0.750
0.947 0.184 0.364
0.947 0.583 0.762
```

Summary:
As for the crystal system: orthorhombic. The total moment is 0.38 μB/cell. The calculation puts the energy relative to the elements, uncorrected at -3.703 eV/atom.

---

Entry 4:
TlRh2Br: relaxed, GGA-PBE.

```
TlRh2Br
1.0
4.451 0.000 0.000
0.000 3.262 0.000
-2.069 0.000 5.156
Tl Rh Br
1 2 1
direct
0.000 0.000 0.000
0.500 0.000 0.500
0.500 0.500 0.000
0.000 0.500 0.500
```

Summary:
As for the crystal system: monoclinic. The total moment is 0.03 μB/cell. The energy relative to the lowest polymorph listed for this composition comes out at 0.75 eV/f.u. The calculation puts the energy relative to the elements, uncorrected at 0.424 eV/atom.

---

Entry 5:
PmGdThIn: relaxed, GGA-PBE.

```
PmGdThIn
1.0
0.000 3.905 3.905
3.905 0.000 3.905
3.905 3.905 0.000
Pm Gd Th In
1 1 1 1
direct
0.000 0.000 0.000
0.500 0.500 0.500
0.750 0.750 0.750
0.250 0.250 0.250
```

Summary:
The formation energy from the elements is -0.04 eV/atom. As for the crystal system: cubic. The total moment is 7.80 μB/cell.

---

Entry 6:
Re5C3: relaxed, GGA-PBE.

```
Re5C3
1.0
6.207 0.000 0.000
-3.103 5.375 0.000
0.000 0.000 5.486
Re C
10 6
direct
0.000 0.243 0.250
0.000 0.757 0.750
0.243 0.000 0.250
0.243 0.243 0.750
0.333 0.667 0.000
0.333 0.667 0.500
0.667 0.333 0.000
0.667 0.333 0.500
0.757 0.000 0.750
0.757 0.757 0.250
0.000 0.408 0.750
0.000 0.592 0.250
0.408 0.000 0.750
0.408 0.408 0.250
0.592 0.000 0.250
0.592 0.592 0.750
```

Summary:
The formation energy from the elements is 0.73 eV/atom. As for the crystal system: hexagonal. The total moment is 0.00 μB/cell. The energy relative to the lowest polymorph listed for this composition comes out at 0.76 eV/f.u.

---

Entry 7:
BeCu2BiRu: relaxed, GGA-PBE.

```
BeCu2BiRu
1.0
4.714 0.000 0.000
0.000 4.714 0.000
0.000 0.000 4.153
Be Cu Bi Ru
1 2 1 1
direct
0.000 0.000 0.000
0.000 0.500 0.500
0.500 0.000 0.500
0.500 0.500 0.000
0.000 0.000 0.500
```

Summary:
The formation energy from the elements is 0.81 eV/atom. As for the crystal system: tetragonal. The total moment is 0.00 μB/cell.

---

Entry 8:
Rb2MgSeBr6: relaxed, GGA-PBE.

```
Rb2MgSeBr6
1.0
-4.059 4.059 5.404
4.059 -4.059 5.404
4.059 4.059 -5.404
Rb Mg Se Br
2 1 1 6
direct
0.250 0.750 0.500
0.750 0.250 0.500
0.000 0.000 0.000
0.500 0.500 0.000
0.228 0.228 0.456
0.228 0.772 0.000
0.266 0.266 0.000
0.734 0.734 0.000
0.772 0.228 0.000
0.772 0.772 0.544
```

Summary:
As for the crystal system: tetragonal. The total moment is 2.00 μB/cell. The calculation puts the energy relative to the elements, uncorrected at -1.030 eV/atom.

---

Entry 9:
Si2HgW: relaxed, GGA-PBE.

```
Si2HgW
1.0
1.753 -2.260 0.000
1.753 2.260 0.000
0.000 0.000 8.512
Si Hg W
2 1 1
direct
0.000 0.000 0.000
0.500 0.500 0.217
0.000 0.000 0.501
0.500 0.500 0.786
```

Summary:
As for the crystal system: orthorhombic. The total moment is 0.00 μB/cell. The calculation puts the energy relative to the elements, uncorrected at 0.576 eV/atom.

---

Entry 10:
Nb14PtRh: relaxed, GGA-PBE.

```
Nb14PtRh
1.0
3.323 -4.678 0.000
3.323 4.678 0.000
0.000 0.000 9.170
Nb Pt Rh
14 1 1
direct
0.000 0.000 0.000
0.000 0.500 0.000
0.000 0.500 0.500
0.249 0.751 0.255
0.249 0.751 0.745
0.253 0.253 0.255
0.253 0.253 0.745
0.500 0.000 0.000
0.500 0.000 0.500
0.500 0.500 0.000
0.747 0.747 0.255
0.747 0.747 0.745
0.751 0.249 0.255
0.751 0.249 0.745
0.000 0.000 0.500
0.500 0.500 0.500
```

Summary:
The formation energy from the elements is -0.18 eV/atom. As for the crystal system: orthorhombic. The total moment is 0.00 μB/cell.

---

Entry 11:
NaCuCl2: relaxed, GGA-PBE.

```
NaCuCl2
1.0
0.000 3.336 3.336
3.336 0.000 3.336
3.336 3.336 0.000
Na Cu Cl
1 1 2
direct
0.000 0.000 0.000
0.500 0.500 0.500
0.250 0.250 0.250
0.750 0.750 0.750
```

Summary:
As for the crystal system: cubic. The total moment is 0.00 μB/cell. The energy relative to the lowest polymorph listed for this composition comes out at 1.42 eV/f.u. The calculation puts the energy relative to the elements, uncorrected at -0.747 eV/atom.

---

Entry 12:
BaY2Br2: relaxed, GGA-PBE.

```
BaY2Br2
1.0
8.920 0.000 0.000
0.000 8.920 0.000
0.000 0.000 3.643
Ba Y Br
2 4 4
direct
0.000 0.000 0.000
0.500 0.500 0.000
0.170 0.330 0.500
0.330 0.830 0.500
0.670 0.170 0.500
0.830 0.670 0.500
0.133 0.633 0.000
0.367 0.133 0.000
0.633 0.867 0.000
0.867 0.367 0.000
```

Summary:
As for the crystal system: tetragonal. The total moment is 0.00 μB/cell. The energy relative to the lowest polymorph listed for this composition comes out at 0.87 eV/f.u. The calculation puts the energy relative to the elements, uncorrected at -0.561 eV/atom.

---

no.,Fermi-level density of states (states/eV/atom),VASP energy (eV per atom)
1,1.335,-7.00
2,0.914,-4.00
3,0.000,-5.81
4,1.426,-4.26
5,1.584,-7.29
6,0.330,-10.50
7,0.437,-4.21
8,0.090,-2.73
9,0.497,-5.45
10,0.940,-9.82
11,0.000,-3.02
12,0.415,-4.20